The following is a DFT calculation (PBE) of an optimized crystal structure of NaPu2Tl3.

abc: 3.4061 3.4061 13.9723
angles: 90.00 90.00 90.00
Closest atoms and distances in Å follow each position.
Positions (direct):
1 Na 0.0000 0.0000 0.0000  8 Tl 3.31, 4 Na 3.41
2 Pu 0.0000 0.0000 0.3321  8 Tl 3.36-3.38, 4 Pu 3.41
3 Pu 0.0000 0.0000 0.6679  8 Tl 3.36-3.38, 4 Pu 3.41
4 Tl 0.5000 0.5000 0.1623  4 Na 3.31, 4 Pu 3.38, 4 Tl 3.41
5 Tl 0.5000 0.5000 0.5000  8 Pu 3.36, 4 Tl 3.41
6 Tl 0.5000 0.5000 0.8377  4 Na 3.31, 4 Pu 3.38, 4 Tl 3.41

## Properties
calculated total energy: -6.21 eV per atom
DFT formation energy: -0.03 eV per atom
total magnetic moment: 1.9415 μB per atom